[1]
A plane-wave DFT calculation with GGA-PBE was carried out for a relaxed structure of LiTcH4.

Unit cell a=5.0452 b=5.2371 c=5.0490 alpha=109.79 beta=108.22 gamma=111.12
Element x y z (fractional)
1 H 0.1972 0.2508 0.3112
2 H 0.0246 0.1890 0.8675
3 H 0.3860 0.9396 0.6888
4 H 0.3429 0.6785 0.8675
5 H 0.8028 0.7492 0.6888
6 H 0.6140 0.0604 0.3112
7 H 0.9754 0.8110 0.1325
8 H 0.6571 0.3215 0.1325
9 Li 0.3934 0.6434 0.2869
10 Li 0.6066 0.3566 0.7131
11 Tc 0.2579 0.0079 0.0159
12 Tc 0.7421 0.9921 0.9841

Results
mass density: 3.56 g/cm3
magnetization: 0.00 μB per cell
space-group type: C2/c (15)
total DFT energy (no corrections): -4.30 eV per atom

[2]
A plane-wave DFT calculation with GGA-PBE was carried out for a relaxed structure of Sc2TaAs.

Unit cell a=8.8882 b=8.8882 c=8.8882 alpha=21.33 beta=21.33 gamma=21.33
Element x y z (fractional)
1 Ta 0.2500 0.2500 0.2500
2 Sc 0.0086 0.0086 0.0086
3 Sc 0.4914 0.4914 0.4914
4 As 0.7500 0.7500 0.7500

Results
formation energy from the elements: -0.23 eV per atom
mass density: 7.05 g/cm3
magnetization: 0.02 μB per cell
space-group type: R-3m (166)

[3]
A plane-wave DFT calculation with GGA-PBE was carried out for a relaxed structure of Dy5ErMg3.

Unit cell a=6.9088 b=9.3328 c=9.3327 alpha=120.00 beta=90.00 gamma=90.00
Element x y z (fractional)
1 Mg 0.7500 0.0000 0.6670
2 Mg 0.2500 0.6671 0.6670
3 Mg 0.2500 0.0000 0.3330
4 Mg 0.2500 0.3330 0.0000
5 Mg 0.7500 0.6670 0.0000
6 Mg 0.7500 0.3329 0.3330
7 Dy 0.0000 0.6667 0.3333
8 Dy 0.5000 0.3333 0.6667
9 Dy 0.2500 0.6674 0.0000
10 Dy 0.7500 0.3326 0.0000
11 Dy 0.0000 0.3333 0.6667
12 Dy 0.2500 0.0000 0.6674
13 Dy 0.7500 0.6674 0.6674
14 Dy 0.5000 0.6667 0.3333
15 Dy 0.7500 0.0000 0.3326
16 Dy 0.2500 0.3326 0.3326
17 Er 0.5000 0.0000 0.0000
18 Er 0.0000 0.0000 0.0000

Results
formation energy from the elements: 0.01 eV per atom
mass density: 6.71 g/cm3
magnetization: 0.00 μB per cell
space-group type: P6_3/mcm (193)

[4]
A plane-wave DFT calculation with GGA-PBE was carried out for a relaxed structure of PmSm2ThBi4.

Unit cell a=4.5806 b=7.9127 c=7.9165 alpha=70.52 beta=90.00 gamma=90.00
Element x y z (fractional)
1 Th 0.0000 0.5000 0.5000
2 Sm 0.5000 0.0000 0.5000
3 Sm 0.0000 0.0000 0.0000
4 Bi 0.5000 0.2476 0.7513
5 Bi 0.0000 0.7514 0.7496
6 Bi 0.5000 0.7524 0.2487
7 Bi 0.0000 0.2486 0.2504
8 Pm 0.5000 0.5000 0.0000

Results
formation energy from the elements: -0.86 eV per atom
mass density: 9.29 g/cm3
magnetization: 0.00 μB per cell
space-group type: P2/m (10)